A plane-wave DFT calculation with GGA-PBE was carried out for crystalline BSb2WI at its relaxed geometry.

Cell lengths 5.1687, 5.1687, 5.9268 Å; angles 90.00, 90.00, 90.00 degrees
Site moments in Bohr magnetons follow the coordinates.
Sites, in units of the cell vectors:
W 0.0000 0.0000 0.0000  0.68
Sb 0.0000 0.5000 0.0000  -0.06
B 0.5000 0.5000 0.5000  0.20
Sb 0.5000 0.0000 0.0000  -0.06
I 0.0000 0.0000 0.5000  0.00

- crystal system = tetragonal
- calculated total energy (eV per atom) = -4.31
- energy above the most stable polymorph in this dataset (kJ per mole of atoms) = 3.1